Rb2MgReO6: relaxed, PBE.

Properties
Raw formation energy: -1.6405 eV/atom

```
data_Rb2MgReO6
_chemical_formula_sum 'Rb2 Mg1 Re1 O6'
_cell_length_a 6.3378
_cell_length_b 6.3378
_cell_length_c 5.3245
_cell_angle_alpha 90.00
_cell_angle_beta 90.00
_cell_angle_gamma 120.00
_symmetry_space_group_name_H-M 'P -3 m 1'
_symmetry_Int_Tables_number 164
_symmetry_space_group_name_Hall '-P 3 2"'
loop_
_atom_site_label
_atom_site_type_symbol
_atom_site_fract_x
_atom_site_fract_y
_atom_site_fract_z
Rb1 Rb 0.3333 0.6667 0.2049
Mg1 Mg 0.0000 0.0000 0.5000
Re1 Re 0.0000 0.0000 0.0000
O1 O 0.1371 0.2741 0.7819
```

---

DyEr5Se6: relaxed, PBE.

Properties
Raw formation energy: -1.7032 eV/atom

```
data_DyEr5Se6
_chemical_formula_sum 'Dy2 Er10 Se12'
_cell_length_a 7.001
_cell_length_b 12.165
_cell_length_c 6.983
_cell_angle_alpha 90.00
_cell_angle_beta 109.64
_cell_angle_gamma 90.00
_symmetry_space_group_name_H-M 'C 1 2/m 1'
_symmetry_Int_Tables_number 12
loop_
_symmetry_equiv_pos_as_xyz
'x,y,z'
'-x,-y,-z'
'-x,y,-z'
'x,-y,z'
'x+1/2,y+1/2,z'
'-x+1/2,-y+1/2,-z'
'-x+1/2,y+1/2,-z'
'x+1/2,-y+1/2,z'
loop_
_atom_site_label
_atom_site_type_symbol
_atom_site_fract_x
_atom_site_fract_y
_atom_site_fract_z
Dy1 Dy 0.000 0.000 0.000
Er1 Er 0.000 0.165 0.500
Er2 Er 0.000 0.334 0.000
Er3 Er 0.000 0.500 0.500
Se1 Se 0.248 0.332 0.748
Se2 Se 0.248 0.500 0.250
```

---

CsGa9Au5: relaxed, PBE.

Properties
DFT formation energy: -24.6 kJ per mole of atoms

```
data_CsGa9Au5
_chemical_formula_sum 'Cs2 Ga18 Au10'
_cell_length_a 7.8159
_cell_length_b 7.8159
_cell_length_c 12.3703
_cell_angle_alpha 90.00
_cell_angle_beta 90.00
_cell_angle_gamma 120.00
_symmetry_space_group_name_H-M 'P 63/m m c'
_symmetry_Int_Tables_number 194
_symmetry_space_group_name_Hall '-P 6c 2c'
loop_
_atom_site_label
_atom_site_type_symbol
_atom_site_fract_x
_atom_site_fract_y
_atom_site_fract_z
Cs1 Cs 0.0000 0.0000 0.0000
Ga1 Ga 0.0788 0.5394 0.0965
Ga2 Ga 0.1953 0.3906 0.7500
Au1 Au 0.1888 0.3775 0.2500
Au2 Au 0.3333 0.6667 0.5855
```

---

CaAc2Ga3Au12: relaxed, PBE.

Properties
DFT formation energy: -32.5 kJ per mole of atoms

```
data_CaAc2Ga3Au12
_chemical_formula_sum 'Ca3 Ac6 Ga9 Au36'
_cell_length_a 6.9310
_cell_length_b 6.9310
_cell_length_c 31.3232
_cell_angle_alpha 90.00
_cell_angle_beta 90.00
_cell_angle_gamma 120.00
_symmetry_space_group_name_H-M 'R -3 m'
_symmetry_Int_Tables_number 166
_symmetry_space_group_name_Hall '-R 3 2"'
loop_
_atom_site_label
_atom_site_type_symbol
_atom_site_fract_x
_atom_site_fract_y
_atom_site_fract_z
Ca1 Ca 0.0000 0.0000 0.0000
Ac1 Ac 0.0000 0.0000 0.3629
Ga1 Ga 0.0000 0.5000 0.5000
Au1 Au 0.0487 0.5243 0.3925
Au2 Au 0.0610 0.5305 0.1234
```

---

Ac8CdIn2: relaxed, PBE.

Properties
Excess energy over the best structure of this formula in the dataset: 0.044 eV per atom
DFT formation energy: -11.8 kJ per mole of atoms

```
data_Ac8CdIn2
_chemical_formula_sum 'Ac16 Cd2 In4'
_cell_length_a 5.551
_cell_length_b 9.721
_cell_length_c 15.970
_cell_angle_alpha 90.00
_cell_angle_beta 90.00
_cell_angle_gamma 90.00
_symmetry_space_group_name_H-M 'I m m m'
_symmetry_Int_Tables_number 71
_symmetry_space_group_name_Hall '-I 2 2'
loop_
_atom_site_label
_atom_site_type_symbol
_atom_site_fract_x
_atom_site_fract_y
_atom_site_fract_z
Ac1 Ac 0.000 0.000 0.141
Ac2 Ac 0.000 0.223 0.341
Ac3 Ac 0.000 0.320 0.000
Cd1 Cd 0.000 0.500 0.500
In1 In 0.000 0.500 0.195
```

---

BeAl2TeOs: relaxed, PBE.

Properties
Raw formation energy: 0.9865 eV/atom

```
data_BeAl2TeOs
_chemical_formula_sum 'Be1 Al2 Te1 Os1'
_cell_length_a 4.189
_cell_length_b 4.189
_cell_length_c 4.988
_cell_angle_alpha 90.00
_cell_angle_beta 90.00
_cell_angle_gamma 90.00
_symmetry_space_group_name_H-M 'P 4/m m m'
_symmetry_Int_Tables_number 123
_symmetry_space_group_name_Hall '-P 4 2'
loop_
_atom_site_label
_atom_site_type_symbol
_atom_site_fract_x
_atom_site_fract_y
_atom_site_fract_z
Be1 Be 0.000 0.000 0.000
Al1 Al 0.000 0.500 0.000
Te1 Te 0.000 0.000 0.500
Os1 Os 0.500 0.500 0.500
```